Here is Ce2ErScP4 after structural relaxation from Alexandria via LeMat-Bulk. Energies are from PBE.

Properties
magnetic moment	0.947	μB per formula unit
DOS(E_F)	1.087	states/eV/atom
final energy	-56.5	eV per formula unit
energy relative to the elements	-34.80	kcal/mol of atoms

Cell lengths 3.987, 6.902, 6.861 Å; angles 109.59, 90.00, 90.00 degrees
Atoms (fractional coordinates):
P (0.500, 0.253, 0.240)
P (0.500, 0.747, 0.760)
Ce (0.000, 0.500, 0.500)
Er (0.000, 0.000, 0.000)
P (0.000, 0.261, 0.764)
Sc (0.500, 0.500, 0.000)
P (0.000, 0.739, 0.236)
Ce (0.500, 0.000, 0.500)

***

Here is CeEr2Sc3P6 after structural relaxation from Alexandria via LeMat-Bulk. Energies are from PBE.

Properties
magnetic moment	0.023	μB per formula unit
DOS(E_F)	0.376	states/eV/atom
final energy	-84.8	eV per formula unit
energy relative to the elements	-35.17	kcal/mol of atoms

Cell lengths 6.731, 6.731, 6.704 Å; angles 99.64, 99.64, 119.99 degrees
Atoms (fractional coordinates):
P (0.912, 0.577, 0.736)
Ce (0.000, 0.000, 0.000)
P (0.247, 0.247, 0.737)
Sc (0.500, 0.500, 0.500)
Sc (0.834, 0.166, 0.500)
Sc (0.166, 0.834, 0.500)
P (0.088, 0.423, 0.264)
P (0.753, 0.753, 0.263)
P (0.577, 0.912, 0.736)
P (0.423, 0.088, 0.264)
Er (0.333, 0.667, 0.000)
Er (0.667, 0.333, 0.000)

***

Here is CeEr2ScP4 after structural relaxation from Alexandria via LeMat-Bulk. Energies are from PBE.

Properties
magnetic moment	0.284	μB per formula unit
DOS(E_F)	0.544	states/eV/atom
final energy	-55.3	eV per formula unit
energy relative to the elements	-35.36	kcal/mol of atoms

Cell lengths 3.954, 6.816, 6.839 Å; angles 109.39, 90.00, 90.00 degrees
Atoms (fractional coordinates):
P (0.500, 0.759, 0.757)
Er (0.000, 0.500, 0.500)
P (0.000, 0.242, 0.751)
P (0.000, 0.758, 0.249)
P (0.500, 0.241, 0.243)
Ce (0.500, 0.500, 0.000)
Er (0.500, 0.000, 0.500)
Sc (0.000, 0.000, 0.000)

***

Here is CeErPSe after structural relaxation from Alexandria via LeMat-Bulk. Energies are from PBE.

Properties
magnetic moment	0.934	μB per formula unit
DOS(E_F)	1.508	states/eV/atom
E_form (uncorrected)	-1725	meV/atom
final energy	-26.3	eV per formula unit

Cell lengths 4.057, 4.057, 7.160 Å; angles 73.54, 73.54, 60.00 degrees
Atoms (fractional coordinates):
P (0.246, 0.246, 0.262)
Ce (0.994, 0.994, 0.018)
Se (0.754, 0.754, 0.739)
Er (0.506, 0.506, 0.481)

***

Here is CeSmEr2P4 after structural relaxation from Alexandria via LeMat-Bulk. Energies are from PBE.

Properties
magnetic moment	0.431	μB per formula unit
DOS(E_F)	0.693	states/eV/atom
final energy	-54.0	eV per formula unit
energy relative to the elements	-36.32	kcal/mol of atoms

Cell lengths 4.034, 6.968, 6.985 Å; angles 70.57, 90.00, 90.00 degrees
Atoms (fractional coordinates):
Ce (0.000, 0.500, 0.500)
Er (0.500, 0.000, 0.500)
P (0.500, 0.756, 0.250)
P (0.000, 0.757, 0.745)
P (0.000, 0.243, 0.255)
Sm (0.500, 0.500, 0.000)
P (0.500, 0.244, 0.750)
Er (0.000, 0.000, 0.000)

***

Here is CeSm2ErP4 after structural relaxation from Alexandria via LeMat-Bulk. Energies are from PBE.

Properties
magnetic moment	0.372	μB per formula unit
DOS(E_F)	0.662	states/eV/atom
final energy	-54.1	eV per formula unit
energy relative to the elements	-36.13	kcal/mol of atoms

Cell lengths 4.066, 7.027, 7.043 Å; angles 109.39, 90.00, 90.00 degrees
Atoms (fractional coordinates):
Sm (0.000, 0.500, 0.500)
Sm (0.500, 0.000, 0.500)
Er (0.000, 0.000, 0.000)
P (0.000, 0.250, 0.756)
P (0.500, 0.754, 0.758)
P (0.500, 0.246, 0.242)
Ce (0.500, 0.500, 0.000)
P (0.000, 0.750, 0.244)

***

Here is Ce2SmErP4 after structural relaxation from Alexandria via LeMat-Bulk. Energies are from PBE.

Properties
magnetic moment	0.995	μB per formula unit
DOS(E_F)	1.124	states/eV/atom
final energy	-55.2	eV per formula unit
energy relative to the elements	-35.65	kcal/mol of atoms

Cell lengths 4.065, 7.026, 7.041 Å; angles 70.49, 90.00, 90.00 degrees
Atoms (fractional coordinates):
P (0.000, 0.249, 0.255)
Er (0.000, 0.500, 0.500)
Ce (0.000, 0.000, 0.000)
P (0.500, 0.253, 0.745)
P (0.500, 0.747, 0.255)
Sm (0.500, 0.500, 0.000)
P (0.000, 0.751, 0.745)
Ce (0.500, 0.000, 0.500)

***

Here is Ce2Sm3ErP6 after structural relaxation from Alexandria via LeMat-Bulk. Energies are from PBE.

Properties
magnetic moment	0.764	μB per formula unit
DOS(E_F)	0.780	states/eV/atom
final energy	-81.8	eV per formula unit
energy relative to the elements	-35.97	kcal/mol of atoms

Cell lengths 7.053, 7.053, 7.061 Å; angles 99.59, 99.59, 120.00 degrees
Atoms (fractional coordinates):
P (0.750, 0.750, 0.245)
P (0.081, 0.413, 0.243)
P (0.587, 0.919, 0.757)
Sm (0.833, 0.167, 0.500)
P (0.919, 0.587, 0.757)
Er (0.000, 0.000, 0.000)
Sm (0.500, 0.500, 0.500)
Ce (0.667, 0.333, 0.000)
P (0.413, 0.081, 0.243)
Ce (0.333, 0.667, 0.000)
P (0.250, 0.250, 0.755)
Sm (0.167, 0.833, 0.500)

***

Here is Ce3SmEr2P6 after structural relaxation from Alexandria via LeMat-Bulk. Energies are from PBE.

Properties
magnetic moment	1.484	μB per formula unit
DOS(E_F)	1.157	states/eV/atom
final energy	-82.7	eV per formula unit
energy relative to the elements	-35.70	kcal/mol of atoms

Cell lengths 7.022, 7.022, 7.004 Å; angles 99.62, 99.62, 120.01 degrees
Atoms (fractional coordinates):
Ce (0.500, 0.500, 0.500)
Ce (0.166, 0.834, 0.500)
P (0.579, 0.917, 0.752)
Er (0.333, 0.667, 0.000)
P (0.744, 0.744, 0.247)
Er (0.667, 0.333, 0.000)
Sm (0.000, 0.000, 0.000)
Ce (0.834, 0.166, 0.500)
P (0.421, 0.083, 0.248)
P (0.917, 0.579, 0.752)
P (0.256, 0.256, 0.753)
P (0.083, 0.421, 0.248)

***

Here is SrCe2ErP4 after structural relaxation from Alexandria via LeMat-Bulk. Energies are from PBE.

Properties
magnetic moment	0.898	μB per formula unit
DOS(E_F)	0.886	states/eV/atom
final energy	-50.9	eV per formula unit
energy relative to the elements	-32.10	kcal/mol of atoms

Cell lengths 4.127, 7.105, 7.194 Å; angles 70.52, 90.00, 90.00 degrees
Atoms (fractional coordinates):
Er (0.000, 0.500, 0.500)
Ce (0.500, 0.000, 0.500)
P (0.500, 0.247, 0.739)
Sr (0.500, 0.500, 0.000)
P (0.000, 0.766, 0.731)
P (0.000, 0.234, 0.269)
Ce (0.000, 0.000, 0.000)
P (0.500, 0.753, 0.261)

***

Here is Tb2CeErP4 after structural relaxation from Alexandria via LeMat-Bulk. Energies are from PBE.

Properties
magnetic moment	0.381	μB per formula unit
DOS(E_F)	0.632	states/eV/atom
final energy	-54.1	eV per formula unit
energy relative to the elements	-36.59	kcal/mol of atoms

Cell lengths 4.027, 6.962, 6.970 Å; angles 109.40, 90.00, 90.00 degrees
Atoms (fractional coordinates):
Er (0.000, 0.000, 0.000)
Ce (0.500, 0.500, 0.000)
P (0.000, 0.248, 0.751)
P (0.500, 0.248, 0.247)
P (0.500, 0.752, 0.753)
Tb (0.500, 0.000, 0.500)
P (0.000, 0.752, 0.249)
Tb (0.000, 0.500, 0.500)

***

Here is TbCe3Er2P6 after structural relaxation from Alexandria via LeMat-Bulk. Energies are from PBE.

Properties
magnetic moment	1.494	μB per formula unit
DOS(E_F)	1.135	states/eV/atom
final energy	-82.7	eV per formula unit
energy relative to the elements	-35.89	kcal/mol of atoms

Cell lengths 6.999, 6.999, 6.980 Å; angles 99.62, 99.62, 120.01 degrees
Atoms (fractional coordinates):
P (0.746, 0.746, 0.245)
Er (0.333, 0.667, 0.000)
P (0.082, 0.417, 0.246)
Er (0.667, 0.333, 0.000)
P (0.417, 0.082, 0.246)
P (0.918, 0.583, 0.754)
Ce (0.834, 0.166, 0.500)
P (0.254, 0.254, 0.755)
Tb (0.000, 0.000, 0.000)
Ce (0.500, 0.500, 0.500)
Ce (0.166, 0.834, 0.500)
P (0.583, 0.918, 0.754)

***

Here is Tb3CeEr2P6 after structural relaxation from Alexandria via LeMat-Bulk. Energies are from PBE.

Properties
magnetic moment	0.252	μB per formula unit
DOS(E_F)	0.414	states/eV/atom
final energy	-80.6	eV per formula unit
energy relative to the elements	-36.87	kcal/mol of atoms

Cell lengths 6.949, 6.949, 6.958 Å; angles 99.59, 99.59, 119.99 degrees
Atoms (fractional coordinates):
P (0.083, 0.417, 0.248)
P (0.748, 0.748, 0.246)
P (0.252, 0.252, 0.754)
P (0.417, 0.083, 0.248)
Tb (0.166, 0.834, 0.500)
Tb (0.834, 0.166, 0.500)
Ce (0.000, 0.000, 0.000)
P (0.583, 0.917, 0.752)
Er (0.667, 0.333, 0.000)
Tb (0.500, 0.500, 0.500)
P (0.917, 0.583, 0.752)
Er (0.333, 0.667, 0.000)

***

Here is Tb3Ce2ErP6 after structural relaxation from Alexandria via LeMat-Bulk. Energies are from PBE.

Properties
magnetic moment	0.783	μB per formula unit
DOS(E_F)	0.819	states/eV/atom
final energy	-81.7	eV per formula unit
energy relative to the elements	-36.41	kcal/mol of atoms

Cell lengths 6.987, 6.987, 6.987 Å; angles 99.60, 99.60, 120.00 degrees
Atoms (fractional coordinates):
P (0.752, 0.752, 0.250)
P (0.586, 0.917, 0.751)
P (0.414, 0.083, 0.249)
Er (0.000, 0.000, 0.000)
Tb (0.833, 0.167, 0.500)
P (0.248, 0.248, 0.750)
Ce (0.333, 0.667, 0.000)
Ce (0.667, 0.333, 0.000)
Tb (0.500, 0.500, 0.500)
P (0.083, 0.414, 0.249)
P (0.917, 0.586, 0.751)
Tb (0.167, 0.833, 0.500)

***

Here is CeErTeP after structural relaxation from Alexandria via LeMat-Bulk. Energies are from PBE.

Properties
magnetic moment	0.718	μB per formula unit
DOS(E_F)	1.592	states/eV/atom
E_form (uncorrected)	-1444	meV/atom
final energy	-24.8	eV per formula unit

Cell lengths 4.100, 4.100, 7.698 Å; angles 90.00, 105.44, 120.00 degrees
Atoms (fractional coordinates):
Te (0.974, 0.385, 0.374)
Er (0.497, 0.147, 0.659)
Ce (0.108, 0.952, 0.075)
P (0.299, 0.548, 0.862)

***

Here is Ce2ErTh3P6 after structural relaxation from Alexandria via LeMat-Bulk. Energies are from PBE.

Properties
magnetic moment	0.425	μB per formula unit
DOS(E_F)	0.915	states/eV/atom
final energy	-89.8	eV per formula unit
energy relative to the elements	-35.76	kcal/mol of atoms

Cell lengths 7.104, 7.104, 7.087 Å; angles 99.62, 99.62, 120.00 degrees
Atoms (fractional coordinates):
Er (0.000, 0.000, 0.000)
Th (0.167, 0.833, 0.500)
Th (0.833, 0.167, 0.500)
P (0.081, 0.411, 0.243)
Th (0.500, 0.500, 0.500)
P (0.919, 0.589, 0.757)
Ce (0.666, 0.334, 0.000)
P (0.752, 0.752, 0.245)
P (0.248, 0.248, 0.755)
P (0.589, 0.919, 0.757)
P (0.411, 0.081, 0.243)
Ce (0.334, 0.666, 0.000)

***

Here is Ce2Er3ThP6 after structural relaxation from Alexandria via LeMat-Bulk. Energies are from PBE.

Properties
magnetic moment	1.161	μB per formula unit
DOS(E_F)	0.903	states/eV/atom
final energy	-84.3	eV per formula unit
energy relative to the elements	-36.16	kcal/mol of atoms

Cell lengths 4.047, 8.065, 9.027 Å; angles 102.65, 102.95, 90.00 degrees
Atoms (fractional coordinates):
P (0.331, 0.920, 0.663)
P (0.669, 0.080, 0.337)
Ce (0.833, 0.666, 0.665)
Th (0.500, 0.000, 0.000)
Er (0.833, 0.167, 0.666)
P (0.001, 0.744, 0.003)
P (0.335, 0.413, 0.670)
Er (0.500, 0.500, 0.000)
Ce (0.167, 0.334, 0.335)
P (0.665, 0.587, 0.330)
Er (0.167, 0.833, 0.334)
P (0.999, 0.256, 0.997)

***

Here is CeEr3Th2P6 after structural relaxation from Alexandria via LeMat-Bulk. Energies are from PBE.

Properties
magnetic moment	0.555	μB per formula unit
DOS(E_F)	0.671	states/eV/atom
final energy	-85.8	eV per formula unit
energy relative to the elements	-36.35	kcal/mol of atoms

Cell lengths 4.060, 8.074, 9.047 Å; angles 102.57, 102.97, 90.00 degrees
Atoms (fractional coordinates):
P (0.002, 0.747, 0.004)
P (0.665, 0.589, 0.329)
P (0.998, 0.253, 0.996)
Er (0.834, 0.166, 0.667)
P (0.335, 0.411, 0.671)
Th (0.834, 0.668, 0.668)
P (0.332, 0.922, 0.663)
P (0.668, 0.078, 0.337)
Er (0.166, 0.834, 0.333)
Ce (0.500, 0.000, 0.000)
Th (0.166, 0.332, 0.332)
Er (0.500, 0.500, 0.000)

***

Here is Ce2ErThP4 after structural relaxation from Alexandria via LeMat-Bulk. Energies are from PBE.

Properties
magnetic moment	1.148	μB per formula unit
DOS(E_F)	1.250	states/eV/atom
final energy	-57.8	eV per formula unit
energy relative to the elements	-35.61	kcal/mol of atoms

Cell lengths 4.084, 7.075, 7.054 Å; angles 70.52, 90.00, 90.00 degrees
Atoms (fractional coordinates):
P (0.000, 0.250, 0.255)
Ce (0.500, 0.000, 0.500)
P (0.000, 0.750, 0.745)
P (0.500, 0.254, 0.744)
Er (0.000, 0.500, 0.500)
P (0.500, 0.746, 0.256)
Ce (0.000, 0.000, 0.000)
Th (0.500, 0.500, 0.000)

***

Here is Ce3ErTh4P8 after structural relaxation from Alexandria via LeMat-Bulk. Energies are from PBE.

Properties
magnetic moment	0.984	μB per formula unit
DOS(E_F)	1.039	states/eV/atom
final energy	-120.1	eV per formula unit
energy relative to the elements	-35.68	kcal/mol of atoms

Cell lengths 8.216, 8.198, 8.215 Å; angles 120.07, 120.00, 90.00 degrees
Atoms (fractional coordinates):
Ce (0.500, 0.500, 0.000)
P (0.749, 0.746, 0.497)
P (0.247, 0.744, 0.493)
Th (0.000, 0.000, 0.500)
Th (0.500, 0.000, 0.500)
Th (0.500, 0.000, 0.000)
P (0.247, 0.744, 0.997)
P (0.249, 0.256, 0.003)
P (0.251, 0.254, 0.503)
Ce (0.500, 0.500, 0.500)
Th (0.000, 0.000, 0.000)
P (0.753, 0.256, 0.507)
P (0.751, 0.744, 0.997)
P (0.753, 0.256, 0.003)
Ce (0.000, 0.500, 0.500)
Er (0.000, 0.500, 0.000)

***

Here is Ce4ErTh3P8 after structural relaxation from Alexandria via LeMat-Bulk. Energies are from PBE.

Properties
magnetic moment	2.001	μB per formula unit
DOS(E_F)	1.247	states/eV/atom
final energy	-118.5	eV per formula unit
energy relative to the elements	-35.54	kcal/mol of atoms

Cell lengths 8.201, 8.203, 8.201 Å; angles 119.99, 120.00, 90.00 degrees
Atoms (fractional coordinates):
P (0.247, 0.750, 0.002)
Th (0.500, 0.500, 0.000)
P (0.247, 0.750, 0.495)
Th (0.000, 0.500, 0.500)
Ce (0.000, 0.000, 0.500)
Er (0.000, 0.500, 0.000)
Ce (0.000, 0.000, 0.000)
P (0.751, 0.754, 0.502)
Ce (0.500, 0.000, 0.500)
Th (0.500, 0.500, 0.500)
P (0.245, 0.250, 0.998)
Ce (0.500, 0.000, 0.000)
P (0.753, 0.250, 0.998)
P (0.755, 0.750, 0.002)
P (0.249, 0.246, 0.498)
P (0.753, 0.250, 0.505)

***

Here is CeErTm2P4 after structural relaxation from Alexandria via LeMat-Bulk. Energies are from PBE.

Properties
magnetic moment	0.393	μB per formula unit
DOS(E_F)	0.661	states/eV/atom
final energy	-53.7	eV per formula unit
energy relative to the elements	-36.44	kcal/mol of atoms

Cell lengths 3.989, 6.898, 6.895 Å; angles 109.42, 90.00, 90.00 degrees
Atoms (fractional coordinates):
P (0.500, 0.249, 0.252)
Er (0.000, 0.000, 0.000)
P (0.000, 0.246, 0.745)
P (0.000, 0.754, 0.255)
Tm (0.000, 0.500, 0.500)
Tm (0.500, 0.000, 0.500)
P (0.500, 0.751, 0.748)
Ce (0.500, 0.500, 0.000)